Run one
Computed, not measured: a relaxed structure of Ce2HoFe at the GGA-PBE level of DFT.

Cell lengths 6.8151, 9.4232, 6.0857 Å; angles 90.00, 90.00, 90.00 degrees
Last column: nearest neighbours and their distance in Å.
Element x y z (fractional)
Ce 0.1511 0.0684 0.1412  1 Fe 2.27
Ce 0.1511 0.4316 0.1412  1 Fe 2.27
Ce 0.3489 0.5684 0.6412  1 Fe 2.27
Ce 0.3489 0.9316 0.6412  1 Fe 2.27
Ce 0.6511 0.0684 0.3588  1 Fe 2.27
Ce 0.6511 0.4316 0.3588  1 Fe 2.27
Ce 0.8489 0.5684 0.8588  1 Fe 2.27
Ce 0.8489 0.9316 0.8588  1 Fe 2.27
Ho 0.0601 0.2500 0.6278  3 Fe 2.94-3.23
Ho 0.4399 0.7500 0.1278  3 Fe 2.94-3.23
Ho 0.5601 0.2500 0.8722  3 Fe 2.94-3.23
Ho 0.9399 0.7500 0.3722  3 Fe 2.94-3.23
Fe 0.0668 0.7500 0.8842  2 Ce 2.27
Fe 0.4332 0.2500 0.3842  2 Ce 2.27
Fe 0.5668 0.7500 0.6158  2 Ce 2.27
Fe 0.9332 0.2500 0.1158  2 Ce 2.27

Fermi-level density of states   7.0 states/eV/f.u.



Run two
Computed, not measured: a relaxed structure of Ce2HoFe at the GGA-PBE level of DFT.

Cell lengths 8.8853, 8.8853, 8.8853 Å; angles 24.23, 24.23, 24.23 degrees
Last column: nearest neighbours and their distance in Å.
Element x y z (fractional)
Ce 0.0000 0.0000 0.0000  3 Fe 2.58
Ce 0.2167 0.2167 0.2167  3 Fe 2.67
Ho 0.7749 0.7749 0.7749  6 Ce 3.53-3.54, 6 Ho 3.73
Fe 0.6114 0.6114 0.6114  6 Ce 2.58-2.67

Fermi-level density of states   8.7 states/eV/f.u.



Run three
Computed, not measured: a relaxed structure of Ce2HoFe at the GGA-PBE level of DFT.

Cell lengths 3.4089, 3.4089, 8.4991 Å; angles 90.00, 90.00, 90.00 degrees
Last column: nearest neighbours and their distance in Å.
Element x y z (fractional)
Ce 0.0000 0.0000 0.1921  4 Fe 2.91
Ce 0.0000 0.0000 0.8079  4 Fe 2.91
Ho 0.5000 0.5000 0.5000  4 Ho 3.41, 8 Ce 3.56
Fe 0.5000 0.5000 0.0000  8 Ce 2.91

Fermi-level density of states   10.8 states/eV/f.u.



Run four
Computed, not measured: a relaxed structure of Ce2HoFe at the GGA-PBE level of DFT.

Cell lengths 9.0877, 9.0877, 9.0877 Å; angles 23.24, 23.24, 23.24 degrees
Last column: nearest neighbours and their distance in Å.
Element x y z (fractional)
Ce 0.2253 0.2253 0.2253  3 Fe 2.62
Ce 0.7747 0.7747 0.7747  3 Fe 2.62
Ho 0.0000 0.0000 0.0000  6 Ce 3.56, 6 Ho 3.66
Fe 0.5000 0.5000 0.5000  6 Ce 2.62

Fermi-level density of states   8.0 states/eV/f.u.



Verdict on stability: run one comes out on top.



Run one
Computed, not measured: a relaxed structure of Ce2InFe at the GGA-PBE level of DFT.

Cell lengths 8.7992, 6.3516, 6.9277 Å; angles 90.00, 94.53, 90.00 degrees
Last column: nearest neighbours and their distance in Å.
Element x y z (fractional)
Ce 0.0725 0.1061 0.2963  1 Fe 2.16
Ce 0.0725 0.3939 0.7963  1 Fe 2.16
Ce 0.3231 0.6564 0.1544  2 Fe 2.74-2.76
Ce 0.3231 0.8436 0.6544  2 Fe 2.74-2.76
Ce 0.6769 0.1564 0.3456  2 Fe 2.74-2.76
Ce 0.6769 0.3436 0.8456  2 Fe 2.74-2.76
Ce 0.9275 0.6061 0.2037  1 Fe 2.16
Ce 0.9275 0.8939 0.7037  1 Fe 2.16
In 0.3661 0.1623 0.0334  1 Fe 2.86, 1 In 3.19
In 0.3661 0.3377 0.5334  1 Fe 2.86, 1 In 3.19
In 0.6339 0.6623 0.4666  1 Fe 2.86, 1 In 3.19
In 0.6339 0.8377 0.9666  1 Fe 2.86, 1 In 3.19
Fe 0.1148 0.6095 0.4249  1 Ce 2.16
Fe 0.1148 0.8905 0.9249  1 Ce 2.16
Fe 0.8852 0.1095 0.0751  1 Ce 2.16
Fe 0.8852 0.3905 0.5751  1 Ce 2.16

Fermi-level density of states   7.2 states/eV/f.u.



Run two
Computed, not measured: a relaxed structure of Ce2InFe at the GGA-PBE level of DFT.

Cell lengths 10.0125, 10.0125, 10.0125 Å; angles 21.17, 21.17, 21.17 degrees
Last column: nearest neighbours and their distance in Å.
Element x y z (fractional)
Ce 0.1149 0.1149 0.1149  3 Fe 2.61
Ce 0.8851 0.8851 0.8851  3 Fe 2.61
In 0.0000 0.0000 0.0000  2 Ce 3.37, 6 In 3.68
Fe 0.5000 0.5000 0.5000  6 Ce 2.61

Fermi-level density of states   8.2 states/eV/f.u.



Run three
Computed, not measured: a relaxed structure of Ce2InFe at the GGA-PBE level of DFT.

Cell lengths 3.1788, 3.1788, 8.8008 Å; angles 90.00, 90.00, 90.00 degrees
Last column: nearest neighbours and their distance in Å.
Element x y z (fractional)
Ce 0.0000 0.0000 0.2014  4 Fe 2.86, 4 Ce 3.18
Ce 0.0000 0.0000 0.7986  4 Fe 2.86, 4 Ce 3.18
In 0.5000 0.5000 0.5000  4 In 3.18, 8 Ce 3.46
Fe 0.5000 0.5000 0.0000  8 Ce 2.86, 4 Fe 3.18

Fermi-level density of states   5.6 states/eV/f.u.



Verdict on stability: run one comes out on top.



Run one
Computed, not measured: a relaxed structure of LaCeFe at the GGA-PBE level of DFT.

Cell lengths 7.2611, 6.5993, 7.8337 Å; angles 90.00, 121.55, 90.00 degrees
Last column: nearest neighbours and their distance in Å.
Element x y z (fractional)
La 0.1530 0.1799 0.3972  3 Fe 3.07-3.21
La 0.1530 0.3201 0.8972  3 Fe 3.07-3.21
La 0.8470 0.6799 0.1028  3 Fe 3.07-3.21
La 0.8470 0.8201 0.6028  3 Fe 3.07-3.21
Ce 0.3562 0.6987 0.6440  1 Fe 2.13
Ce 0.3562 0.8013 0.1440  1 Fe 2.13
Ce 0.6438 0.1987 0.8560  1 Fe 2.13
Ce 0.6438 0.3013 0.3560  1 Fe 2.13
Fe 0.3428 0.5566 0.3146  1 Ce 2.13
Fe 0.3428 0.9434 0.8146  1 Ce 2.13
Fe 0.6572 0.0566 0.1854  1 Ce 2.13
Fe 0.6572 0.4434 0.6854  1 Ce 2.13

Fermi-level density of states   3.3 states/eV/f.u.



Run two
Computed, not measured: a relaxed structure of LaCeFe at the GGA-PBE level of DFT.

Cell lengths 4.0963, 4.0963, 5.1519 Å; angles 90.00, 90.00, 120.00 degrees
Last column: nearest neighbours and their distance in Å.
Element x y z (fractional)
La 0.0000 0.0000 0.0000  6 Ce 3.50, 6 Fe 3.50
Ce 0.3333 0.6667 0.5000  3 Fe 2.37
Fe 0.6667 0.3333 0.5000  3 Ce 2.37

Fermi-level density of states   3.0 states/eV/f.u.



Verdict on stability: run one comes out on top.



Run one
Computed, not measured: a relaxed structure of LaCe2Fe at the GGA-PBE level of DFT.

Cell lengths 3.4888, 3.4888, 8.1312 Å; angles 90.00, 90.00, 90.00 degrees
Last column: nearest neighbours and their distance in Å.
Element x y z (fractional)
La 0.0000 0.0000 0.0000  4 La 3.49, 8 Ce 3.54
Ce 0.5000 0.5000 0.3124  4 Fe 2.90, 1 Ce 3.05
Ce 0.5000 0.5000 0.6876  4 Fe 2.90, 1 Ce 3.05
Fe 0.0000 0.0000 0.5000  8 Ce 2.90

Fermi-level density of states   9.7 states/eV/f.u.



Run two
Computed, not measured: a relaxed structure of LaCe2Fe at the GGA-PBE level of DFT.

Cell lengths 6.2106, 6.2106, 6.2106 Å; angles 41.35, 41.35, 41.35 degrees
Last column: nearest neighbours and their distance in Å.
Element x y z (fractional)
La 0.0000 0.0000 0.0000  6 Ce 3.08
Ce 0.2307 0.2307 0.2307  3 Fe 2.76, 3 La 3.08
Ce 0.7693 0.7693 0.7693  3 Fe 2.76, 3 La 3.08
Fe 0.5000 0.5000 0.5000  6 Ce 2.76

Fermi-level density of states   7.0 states/eV/f.u.



Verdict on stability: run one comes out on top.



Run one
Computed, not measured: a relaxed structure of LiCe2Fe at the GGA-PBE level of DFT.

Cell lengths 9.8630, 9.8630, 9.8630 Å; angles 21.53, 21.53, 21.53 degrees
Last column: nearest neighbours and their distance in Å.
Element x y z (fractional)
Li 0.0000 0.0000 0.0000  2 Ce 3.32, 6 Li 3.69
Ce 0.1148 0.1148 0.1148  3 Fe 2.60
Ce 0.8852 0.8852 0.8852  3 Fe 2.60
Fe 0.5000 0.5000 0.5000  6 Ce 2.60

Fermi-level density of states   8.0 states/eV/f.u.



Run two
Computed, not measured: a relaxed structure of LiCe2Fe at the GGA-PBE level of DFT.

Cell lengths 8.7258, 8.7258, 8.7258 Å; angles 24.83, 24.83, 24.83 degrees
Last column: nearest neighbours and their distance in Å.
Element x y z (fractional)
Li 0.0000 0.0000 0.0000  6 Ce 3.50, 6 Li 3.75
Ce 0.5581 0.5581 0.5581  3 Fe 2.64
Ce 0.7751 0.7751 0.7751  3 Fe 2.60
Fe 0.1652 0.1652 0.1652  6 Ce 2.60-2.64

Fermi-level density of states   7.6 states/eV/f.u.



Run three
Computed, not measured: a relaxed structure of LiCe2Fe at the GGA-PBE level of DFT.

Cell lengths 3.1866, 3.1866, 8.9105 Å; angles 90.00, 90.00, 90.00 degrees
Last column: nearest neighbours and their distance in Å.
Element x y z (fractional)
Li 0.0000 0.0000 0.0000  4 Li 3.19, 8 Ce 3.53
Ce 0.5000 0.5000 0.3049  4 Fe 2.85, 4 Ce 3.19
Ce 0.5000 0.5000 0.6951  4 Fe 2.85, 4 Ce 3.19
Fe 0.0000 0.0000 0.5000  8 Ce 2.85, 4 Fe 3.19

Fermi-level density of states   8.7 states/eV/f.u.



Verdict on stability: run three comes out on top.



Run one
Computed, not measured: a relaxed structure of Ce2MgFe at the GGA-PBE level of DFT.

Cell lengths 8.8294, 8.8294, 8.8294 Å; angles 24.34, 24.34, 24.34 degrees
Last column: nearest neighbours and their distance in Å.
Element x y z (fractional)
Ce 0.0000 0.0000 0.0000  3 Fe 2.61
Ce 0.2163 0.2163 0.2163  3 Fe 2.64
Mg 0.4409 0.4409 0.4409  6 Ce 3.50-3.53, 6 Mg 3.72
Fe 0.6093 0.6093 0.6093  6 Ce 2.61-2.64

Fermi-level density of states   8.0 states/eV/f.u.



Run two
Computed, not measured: a relaxed structure of Ce2MgFe at the GGA-PBE level of DFT.

Cell lengths 3.1798, 3.1798, 9.0070 Å; angles 90.00, 90.00, 90.00 degrees
Last column: nearest neighbours and their distance in Å.
Element x y z (fractional)
Ce 0.0000 0.0000 0.1946  4 Fe 2.85, 4 Ce 3.18
Ce 0.0000 0.0000 0.8054  4 Fe 2.85, 4 Ce 3.18
Mg 0.5000 0.5000 0.5000  4 Mg 3.18, 8 Ce 3.55
Fe 0.5000 0.5000 0.0000  8 Ce 2.85, 4 Fe 3.18

Fermi-level density of states   7.8 states/eV/f.u.



Verdict on stability: run two comes out on top.



Run one
Computed, not measured: a relaxed structure of Ce2MgFe at the GGA-PBE level of DFT.

Cell lengths 5.6913, 3.6723, 9.2945 Å; angles 90.00, 98.41, 90.00 degrees
Last column: nearest neighbours and their distance in Å.
Element x y z (fractional)
Ce 0.1824 0.0000 0.1396  3 Fe 2.61-2.89
Ce 0.2995 0.0347 0.7745  1 Fe 2.33
Ce 0.7005 0.5347 0.2255  1 Fe 2.33
Ce 0.8176 0.5000 0.8604  3 Fe 2.61-2.89
Mg 0.2472 0.5211 0.4608  6 Ce 3.39-3.62, 6 Mg 3.40-3.67
Mg 0.7528 0.0211 0.5392  6 Ce 3.39-3.62, 6 Mg 3.40-3.67
Fe 0.3230 0.4676 0.9588  1 Ce 2.33
Fe 0.6770 0.9676 0.0412  1 Ce 2.33

Fermi-level density of states   7.6 states/eV/f.u.



Run two
Computed, not measured: a relaxed structure of Ce2MgFe at the GGA-PBE level of DFT.

Cell lengths 10.1922, 10.1922, 10.1922 Å; angles 20.46, 20.46, 20.46 degrees
Last column: nearest neighbours and their distance in Å.
Element x y z (fractional)
Ce 0.1150 0.1150 0.1150  3 Fe 2.60
Ce 0.8850 0.8850 0.8850  3 Fe 2.60
Mg 0.0000 0.0000 0.0000  2 Ce 3.44, 6 Mg 3.62
Fe 0.5000 0.5000 0.5000  6 Ce 2.60

Fermi-level density of states   8.3 states/eV/f.u.



Verdict on stability: run one comes out on top.



Run one
Computed, not measured: a relaxed structure of Ce2FeNi at the GGA-PBE level of DFT.

Cell lengths 9.6064, 9.6064, 9.6064 Å; angles 17.77, 17.77, 17.77 degrees
Last column: nearest neighbours and their distance in Å.
Element x y z (fractional)
Ce 0.0881 0.0881 0.0881  1 Ni 2.50
Ce 0.9119 0.9119 0.9119  1 Ni 2.50
Fe 0.5000 0.5000 0.5000  6 Ce 2.81, 6 Fe 2.97
Ni 0.0000 0.0000 0.0000  2 Ce 2.50

Fermi-level density of states   5.1 states/eV/f.u.



Run two
Computed, not measured: a relaxed structure of Ce2FeNi at the GGA-PBE level of DFT.

Cell lengths 3.3474, 3.3474, 6.9298 Å; angles 90.00, 90.00, 90.00 degrees
Last column: nearest neighbours and their distance in Å.
Element x y z (fractional)
Ce 0.0000 0.0000 0.2432  4 Fe 2.91, 4 Ni 2.96
Ce 0.0000 0.0000 0.7568  4 Fe 2.91, 4 Ni 2.96
Fe 0.5000 0.5000 0.0000  8 Ce 2.91
Ni 0.5000 0.5000 0.5000  8 Ce 2.96

Fermi-level density of states   7.2 states/eV/f.u.



Verdict on stability: run two comes out on top.